# PBE Tc2HgSe, relaxed
# **Calculated total energy**: -5.3759 eV/atom
# **Energy relative to the lowest polymorph listed for this composition**: 590.2 meV per atom
data_Tc2HgSe
_cell_length_a 4.249
_cell_length_b 4.249
_cell_length_c 7.561
_cell_angle_alpha 90.00
_cell_angle_beta 90.00
_cell_angle_gamma 90.00
_space_group_name_H-M_alt 'I -4 m 2'
_space_group_IT_number 119
_space_group_name_Hall 'I -4 -2'
loop_
_atom_site_label
_atom_site_type_symbol
_atom_site_fract_x
_atom_site_fract_y
_atom_site_fract_z
_atom_site_occupancy
Tc1 Tc 0.000 0.000 0.000 1
Tc2 Tc 0.000 0.500 0.250 1
Hg1 Hg 0.000 0.500 0.750 1
Se1 Se 0.000 0.000 0.500 1